Entry 1:
KInRe2: optimized geometry, PBE. Values from VASP.

```
&SYSTEM
  ibrav = 0, nat = 4, ntyp = 3
/
ATOMIC_SPECIES
In 114.82 In.upf
K 39.10 K.upf
Re 186.21 Re.upf
ATOMIC_POSITIONS angstrom
In 4.150 1.461 4.603
K 2.092 0.736 1.849
Re 0.686 0.241 7.241
Re 6.330 2.228 6.411
CELL_PARAMETERS angstrom
4.404 -0.017 0.011
3.422 2.773 0.011
0.607 0.214 8.029
```

Values from the calculation:
The formation energy comes out at 0.6982 eV/atom. As for the space-group type: Cm, No. 8. Its total energy is -0.238 Ha/atom. The density of states at the Fermi level is 0.832 states/eV/atom. The crystal system is monoclinic.

Entry 2:
K2InRe: optimized geometry, PBE. Values from VASP.

```
&SYSTEM
  ibrav = 0, nat = 4, ntyp = 3
/
ATOMIC_SPECIES
In 114.82 In.upf
K 39.10 K.upf
Re 186.21 Re.upf
ATOMIC_POSITIONS angstrom
In -2.529 -4.450 1.273
K -5.760 -17.217 0.507
K -3.862 -11.544 0.340
Re -3.294 -4.273 -1.399
CELL_PARAMETERS angstrom
-3.971 -9.410 -2.390
-2.443 -9.764 2.954
0.592 10.450 -0.690
```

Values from the calculation:
The formation energy comes out at 0.7782 eV/atom. As for the space-group type: Immm, No. 71. Its total energy is -0.131 Ha/atom. The density of states at the Fermi level is 1.075 states/eV/atom. The crystal system is orthorhombic.

Entry 3:
K2InRe: optimized geometry, PBE. Values from VASP.

```
&SYSTEM
  ibrav = 0, nat = 4, ntyp = 3
/
ATOMIC_SPECIES
In 114.82 In.upf
K 39.10 K.upf
Re 186.21 Re.upf
ATOMIC_POSITIONS angstrom
In -0.080 4.531 5.558
K 1.985 7.709 5.044
K -0.771 1.846 3.802
Re 1.280 4.971 3.252
CELL_PARAMETERS angstrom
-3.605 0.292 0.972
0.639 -2.134 3.011
2.152 8.360 5.469
```

Values from the calculation:
The formation energy comes out at 0.8426 eV/atom. As for the space-group type: P4mm, No. 99. Its total energy is -0.129 Ha/atom. The density of states at the Fermi level is 1.129 states/eV/atom. The crystal system is tetragonal.

Entry 4:
K2InRe: optimized geometry, PBE. Values from VASP.

```
&SYSTEM
  ibrav = 0, nat = 8, ntyp = 3
/
ATOMIC_SPECIES
Re 186.21 Re.upf
K 39.10 K.upf
In 114.82 In.upf
ATOMIC_POSITIONS angstrom
Re 0.000 0.000 0.000
Re -5.644 -0.805 -5.013
K -3.055 0.323 -3.202
K -1.841 -2.314 -3.297
K -7.779 -3.357 -5.443
K -7.484 -3.118 -8.322
In 0.288 0.250 -2.866
In -4.435 -3.428 -5.120
CELL_PARAMETERS angstrom
-0.921 2.873 -2.759
1.498 -2.374 -2.973
-10.656 -4.733 -4.401
```

Values from the calculation:
The formation energy comes out at 1.2665 eV/atom. As for the space-group type: I-42d, No. 122. Its total energy is -0.113 Ha/atom. The density of states at the Fermi level is 0.372 states/eV/atom. The crystal system is tetragonal.

Entry 5:
KInRe2: optimized geometry, PBE. Values from VASP.

```
&SYSTEM
  ibrav = 0, nat = 4, ntyp = 3
/
ATOMIC_SPECIES
In 114.82 In.upf
K 39.10 K.upf
Re 186.21 Re.upf
ATOMIC_POSITIONS angstrom
In -0.182 -3.138 0.397
K 2.643 -5.449 1.349
Re 0.548 -0.448 0.185
Re 2.277 -1.863 0.767
CELL_PARAMETERS angstrom
-2.144 -1.639 2.384
-1.047 -2.326 -2.541
5.651 -4.622 1.903
```

Values from the calculation:
The formation energy comes out at 1.3008 eV/atom. As for the space-group type: P4/mmm, No. 123. Its total energy is -0.216 Ha/atom. The density of states at the Fermi level is 1.071 states/eV/atom. The crystal system is tetragonal.

Entry 6:
KIn2Re: optimized geometry, PBE. Values from VASP.

```
&SYSTEM
  ibrav = 0, nat = 8, ntyp = 3
/
ATOMIC_SPECIES
Re 186.21 Re.upf
K 39.10 K.upf
In 114.82 In.upf
ATOMIC_POSITIONS angstrom
Re 0.000 0.000 0.000
Re 6.242 3.121 4.223
K 3.121 3.121 0.000
K 3.121 6.242 4.223
In 6.202 1.560 2.112
In 6.281 4.681 2.112
In 4.681 3.161 6.335
In 7.802 3.081 6.335
CELL_PARAMETERS angstrom
6.242 0.000 0.000
0.000 6.242 0.000
3.121 3.121 8.447
```

Values from the calculation:
The formation energy comes out at 0.9093 eV/atom. As for the space-group type: I-42d, No. 122. Its total energy is -0.141 Ha/atom. The density of states at the Fermi level is 1.052 states/eV/atom. The crystal system is tetragonal.

Entry 7:
KIn3Re: optimized geometry, PBE. Values from VASP.

```
&SYSTEM
  ibrav = 0, nat = 5, ntyp = 3
/
ATOMIC_SPECIES
Re 186.21 Re.upf
K 39.10 K.upf
In 114.82 In.upf
ATOMIC_POSITIONS angstrom
Re 0.000 0.000 0.000
K 0.030 2.409 3.899
In 1.619 -0.430 2.049
In 0.455 2.600 0.186
In -2.044 0.239 1.664
CELL_PARAMETERS angstrom
-4.087 0.477 3.329
3.237 -0.859 4.098
0.910 5.201 0.371
```

Values from the calculation:
The formation energy comes out at 0.1384 eV/atom. As for the space-group type: Pm-3m, No. 221. Its total energy is -0.155 Ha/atom. The density of states at the Fermi level is 0.630 states/eV/atom. The crystal system is cubic.

Entry 8:
KInRe2: optimized geometry, PBE. Values from VASP.

```
&SYSTEM
  ibrav = 0, nat = 4, ntyp = 3
/
ATOMIC_SPECIES
In 114.82 In.upf
K 39.10 K.upf
Re 186.21 Re.upf
ATOMIC_POSITIONS angstrom
In 0.000 2.708 3.760
K 1.893 4.119 6.644
Re 0.000 2.879 0.783
Re 1.893 1.185 1.818
CELL_PARAMETERS angstrom
3.786 0.000 0.000
0.000 2.885 0.043
0.000 2.453 8.599
```

Values from the calculation:
The formation energy comes out at 0.5790 eV/atom. As for the space-group type: Pm, No. 6. Its total energy is -0.243 Ha/atom. The density of states at the Fermi level is 0.733 states/eV/atom. The crystal system is monoclinic.

Entry 9:
KInRe4: optimized geometry, PBE. Values from VASP.

```
&SYSTEM
  ibrav = 0, nat = 6, ntyp = 3
/
ATOMIC_SPECIES
K 39.10 K.upf
In 114.82 In.upf
Re 186.21 Re.upf
ATOMIC_POSITIONS angstrom
K 0.000 0.000 0.000
In 5.719 5.719 5.719
Re 2.862 4.762 4.762
Re 4.762 4.762 2.862
Re 4.762 2.862 4.762
Re 2.862 2.862 2.862
CELL_PARAMETERS angstrom
0.000 3.812 3.812
3.812 0.000 3.812
3.812 3.812 0.000
```

Values from the calculation:
The formation energy comes out at 0.9328 eV/atom. As for the space-group type: F-43m, No. 216. Its total energy is -0.294 Ha/atom. The density of states at the Fermi level is 0.815 states/eV/atom. The crystal system is cubic.

Entry 10:
KIn2Re: optimized geometry, PBE. Values from VASP.

```
&SYSTEM
  ibrav = 0, nat = 4, ntyp = 3
/
ATOMIC_SPECIES
In 114.82 In.upf
K 39.10 K.upf
Re 186.21 Re.upf
ATOMIC_POSITIONS angstrom
In 0.000 0.000 0.000
In -3.085 -2.509 1.365
K 0.574 -1.602 -2.791
Re -2.492 -1.184 -1.333
CELL_PARAMETERS angstrom
-6.151 -2.090 2.823
1.168 -0.277 -5.489
-0.019 -2.927 -0.093
```

Values from the calculation:
The formation energy comes out at 0.9106 eV/atom. As for the space-group type: C2/m, No. 12. Its total energy is -0.141 Ha/atom. The density of states at the Fermi level is 0.852 states/eV/atom. The crystal system is monoclinic.

Entry 11:
KIn2Re: optimized geometry, PBE. Values from VASP.

```
&SYSTEM
  ibrav = 0, nat = 4, ntyp = 3
/
ATOMIC_SPECIES
In 114.82 In.upf
K 39.10 K.upf
Re 186.21 Re.upf
ATOMIC_POSITIONS angstrom
In -4.043 8.568 -0.494
In -2.302 4.879 -0.281
K -2.969 1.365 0.312
Re -5.084 5.847 0.054
CELL_PARAMETERS angstrom
-2.265 -1.164 -1.658
-1.559 -0.589 2.541
-4.230 8.965 -0.517
```

Values from the calculation:
The formation energy comes out at 0.4937 eV/atom. As for the space-group type: P4/mmm, No. 123. Its total energy is -0.157 Ha/atom. The density of states at the Fermi level is 0.649 states/eV/atom. The crystal system is tetragonal.

Entry 12:
KIn2Re: optimized geometry, PBE. Values from VASP.

```
&SYSTEM
  ibrav = 0, nat = 4, ntyp = 3
/
ATOMIC_SPECIES
In 114.82 In.upf
K 39.10 K.upf
Re 186.21 Re.upf
ATOMIC_POSITIONS angstrom
In 1.316 -0.351 8.012
In 0.834 -1.308 5.187
K -1.652 -0.703 2.687
Re -0.900 -2.176 7.393
CELL_PARAMETERS angstrom
-4.056 0.065 0.669
0.107 -2.758 0.917
1.398 -0.186 8.494
```

Values from the calculation:
The formation energy comes out at 0.5113 eV/atom. As for the space-group type: Pmmm, No. 47. Its total energy is -0.156 Ha/atom. The density of states at the Fermi level is 1.132 states/eV/atom. The crystal system is orthorhombic.

Entry 13:
KInRe2: optimized geometry, PBE. Values from VASP.

```
&SYSTEM
  ibrav = 0, nat = 4, ntyp = 3
/
ATOMIC_SPECIES
In 114.82 In.upf
K 39.10 K.upf
Re 186.21 Re.upf
ATOMIC_POSITIONS angstrom
In -0.185 4.924 0.757
K -1.836 7.987 0.914
Re -0.015 0.411 0.063
Re -1.627 2.424 0.058
CELL_PARAMETERS angstrom
-1.063 0.363 -2.620
-2.008 -0.381 1.988
-0.395 10.510 1.616
```

Values from the calculation:
The formation energy comes out at 0.7669 eV/atom. As for the space-group type: Cmm2, No. 35. Its total energy is -0.236 Ha/atom. The density of states at the Fermi level is 0.590 states/eV/atom. The crystal system is orthorhombic.

Entry 14:
K2InRe: optimized geometry, PBE. Values from VASP.

```
&SYSTEM
  ibrav = 0, nat = 4, ntyp = 3
/
ATOMIC_SPECIES
In 114.82 In.upf
K 39.10 K.upf
Re 186.21 Re.upf
ATOMIC_POSITIONS angstrom
In -2.698 -7.722 5.784
K 1.220 -2.061 8.653
K -0.671 -2.699 3.016
Re -1.549 -5.375 5.232
CELL_PARAMETERS angstrom
-3.636 -3.438 -0.014
-1.133 -4.824 -0.696
1.382 -2.185 9.500
```

Values from the calculation:
The formation energy comes out at 0.8851 eV/atom. As for the space-group type: Cm, No. 8. Its total energy is -0.127 Ha/atom. The density of states at the Fermi level is 1.062 states/eV/atom. The crystal system is monoclinic.

Entry 15:
KIn3Re: optimized geometry, PBE. Values from VASP.

```
&SYSTEM
  ibrav = 0, nat = 5, ntyp = 3
/
ATOMIC_SPECIES
Re 186.21 Re.upf
K 39.10 K.upf
In 114.82 In.upf
ATOMIC_POSITIONS angstrom
Re 2.899 2.899 2.899
K 0.000 0.000 0.000
In 0.000 2.899 0.000
In 0.000 0.000 2.899
In 2.899 0.000 0.000
CELL_PARAMETERS angstrom
5.798 0.000 0.000
0.000 5.798 0.000
0.000 0.000 5.798
```

Values from the calculation:
The formation energy comes out at 2.0506 eV/atom. As for the space-group type: Pm-3m, No. 221. Its total energy is -0.085 Ha/atom. The density of states at the Fermi level is 1.165 states/eV/atom. The crystal system is cubic.

Entry 16:
KInReRu2: optimized geometry, PBE. Values from VASP.

```
&SYSTEM
  ibrav = 0, nat = 5, ntyp = 4
/
ATOMIC_SPECIES
Re 186.21 Re.upf
K 39.10 K.upf
Ru 101.07 Ru.upf
In 114.82 In.upf
ATOMIC_POSITIONS angstrom
Re 0.000 2.593 0.000
K 2.534 2.593 2.534
Ru 0.000 0.000 2.534
Ru 2.534 0.000 0.000
In 0.000 0.000 0.000
CELL_PARAMETERS angstrom
5.068 0.000 0.000
0.000 5.187 0.000
0.000 0.000 5.068
```

Values from the calculation:
The formation energy comes out at 2.1908 eV/atom. As for the space-group type: P4/mmm, No. 123. Its total energy is -0.176 Ha/atom. The density of states at the Fermi level is 0.698 states/eV/atom. The crystal system is tetragonal.

Entry 17:
KSrInRe2: optimized geometry, PBE. Values from VASP.

```
&SYSTEM
  ibrav = 0, nat = 5, ntyp = 4
/
ATOMIC_SPECIES
Re 186.21 Re.upf
K 39.10 K.upf
Sr 87.62 Sr.upf
In 114.82 In.upf
ATOMIC_POSITIONS angstrom
Re 0.000 0.000 2.854
Re 2.854 0.000 0.000
K 2.854 3.034 2.854
Sr 0.000 0.000 0.000
In 0.000 3.034 0.000
CELL_PARAMETERS angstrom
5.707 0.000 0.000
0.000 6.068 0.000
0.000 0.000 5.707
```

Values from the calculation:
The formation energy comes out at 2.4586 eV/atom. As for the space-group type: P4/mmm, No. 123. Its total energy is -0.133 Ha/atom. The density of states at the Fermi level is 0.627 states/eV/atom. The crystal system is tetragonal.

Entry 18:
KInReTc2: optimized geometry, PBE. Values from VASP.

```
&SYSTEM
  ibrav = 0, nat = 5, ntyp = 4
/
ATOMIC_SPECIES
Re 186.21 Re.upf
K 39.10 K.upf
Tc 98.00 Tc.upf
In 114.82 In.upf
ATOMIC_POSITIONS angstrom
Re 2.467 2.545 2.467
K 0.000 2.545 0.000
Tc 0.000 0.000 2.467
Tc 2.467 0.000 0.000
In 0.000 0.000 0.000
CELL_PARAMETERS angstrom
4.934 0.000 0.000
0.000 5.089 0.000
0.000 0.000 4.934
```

Values from the calculation:
The formation energy comes out at 2.9579 eV/atom. As for the space-group type: P4/mmm, No. 123. Its total energy is -0.163 Ha/atom. The density of states at the Fermi level is 2.345 states/eV/atom. The crystal system is tetragonal.

Entry 19:
KTiIn2Re: optimized geometry, PBE. Values from VASP.

```
&SYSTEM
  ibrav = 0, nat = 5, ntyp = 4
/
ATOMIC_SPECIES
Re 186.21 Re.upf
K 39.10 K.upf
Ti 47.87 Ti.upf
In 114.82 In.upf
ATOMIC_POSITIONS angstrom
Re 0.000 2.343 0.000
K 0.000 0.000 0.000
Ti 2.639 2.343 2.639
In 0.000 0.000 2.639
In 2.639 0.000 0.000
CELL_PARAMETERS angstrom
5.277 0.000 0.000
0.000 4.685 0.000
0.000 0.000 5.277
```

Values from the calculation:
The formation energy comes out at 2.4055 eV/atom. As for the space-group type: P4/mmm, No. 123. Its total energy is -0.109 Ha/atom. The density of states at the Fermi level is 1.416 states/eV/atom. The crystal system is tetragonal.

Entry 20:
KInReW2: optimized geometry, PBE. Values from VASP.

```
&SYSTEM
  ibrav = 0, nat = 5, ntyp = 4
/
ATOMIC_SPECIES
Re 186.21 Re.upf
K 39.10 K.upf
W 183.84 W.upf
In 114.82 In.upf
ATOMIC_POSITIONS angstrom
Re -1.540 0.426 -1.655
K 0.000 0.000 0.000
W -1.588 -1.216 1.164
W -0.659 1.922 1.108
In -3.787 1.133 0.618
CELL_PARAMETERS angstrom
-1.318 3.844 2.217
-3.080 0.853 -3.310
-3.176 -2.432 2.329
```

Values from the calculation:
The formation energy comes out at 3.5392 eV/atom. As for the space-group type: P4/mmm, No. 123. Its total energy is -0.180 Ha/atom. The density of states at the Fermi level is 1.574 states/eV/atom. The crystal system is tetragonal.

no.,total moment (μB per atom)
1,0.000
2,0.100
3,0.234
4,0.008
5,0.046
6,0.325
7,0.000
8,0.000
9,0.000
10,0.000
11,0.125
12,0.000
13,0.000
14,0.000
15,0.706
16,1.374
17,1.328
18,0.223
19,0.000
20,0.000